BaCaRhC2: relaxed, PBE-GGA.

Values from the calculation:
Energy   -0.3013 Ry per atom
Formation energy   1.85 eV/atom

Cell: 4.754 4.754 4.990 Å, 90.00 90.00 90.00°
Element x y z (fractional)
Ba  0.000  0.000  0.000
Ca  0.500  0.500  0.500
Rh  0.500  0.500  0.000
C  0.000  0.500  0.500
C  0.500  0.000  0.500